WCl2F after structural relaxation. Source: the Alexandria database, functional GGA+U.

Cell: 3.7480 3.7480 22.1402 Å, 90.00 90.00 120.00°
Space group R-3m (No. 166, hexagonal axes)
Unique sites:
W  0.0000  0.0000  0.0000
Cl  0.0000  0.0000  0.3956
F  0.0000  0.0000  0.5000

energy: -44.05 eV/cell
D(E_F): 0.00 states/eV per cell